[1]
Crystalline Sc3Ag2Hg at its relaxed geometry, computed with GGA-PBE.

```
12
Lattice="-2.8421 3.7785 1.2761 -0.0692 -1.6712 -4.6028 -8.8193 -7.6118 2.8962" Properties=species:S:1:pos:R:3 pbc="T T T"
Sc -4.6675 -3.0256 -1.4367
Sc -2.6298 1.3475 -0.4497
Sc -6.6417 -5.7324 2.1811
Sc -2.1775 -1.8794 0.7151
Sc -9.1008 -6.8519 0.0192
Sc -7.0631 -2.4789 1.0061
Ag -4.4096 -3.8059 1.4481
Ag -2.4571 -1.1178 -2.1625
Ag -9.2735 -4.3866 1.7320
Ag 0.0000 0.0000 0.0000
Hg -6.8874 -4.9416 -0.7077
Hg -4.8432 -0.5629 0.2771
```

Summary:
As for the formation enthalpy at 0 K: -327.3 meV/atom. The volume comes out at 20.8 Å³/atom. As for the space group: P-3m1, No. 164. The value obtained for the calculated total energy is -4.494 eV per atom.



[2]
Crystalline Y5HoSc2 at its relaxed geometry, computed with GGA-PBE.

```
8
Lattice="-5.6249 3.2637 -2.9086 4.5502 -3.5953 -4.1378 -2.4739 -4.4225 4.1984" Properties=species:S:1:pos:R:3 pbc="T T T"
Y -1.1272 -2.5785 0.0916
Y 1.5757 -1.6199 -3.9798
Y -3.5115 1.8099 -3.3620
Y -1.6647 -2.7445 -3.4315
Y -3.2172 -4.2149 2.2937
Ho -3.7542 -4.3810 -1.2294
Sc 1.1808 -4.3884 -1.9815
Sc -3.9159 -0.9729 -1.3648
```

Summary:
As for the formation enthalpy at 0 K: 26.0 meV/atom. The volume comes out at 30.4 Å³/atom. As for the space group: Fmm2, No. 42. The value obtained for the calculated total energy is -6.169 eV per atom.



[3]
Crystalline TaHg2Os at its relaxed geometry, computed with GGA-PBE.

```
4
Lattice="2.9109 0.0000 0.0000 0.0000 2.9109 0.0000 0.0000 0.0000 8.6153" Properties=species:S:1:pos:R:3 pbc="T T T"
Hg 0.0000 0.0000 0.0817
Hg 0.0000 0.0000 4.2260
Os 1.4554 1.4554 2.1538
Ta 1.4554 1.4554 6.4615
```

Summary:
As for the formation enthalpy at 0 K: 802.0 meV/atom. The volume comes out at 18.2 Å³/atom. As for the space group: P4/mmm, No. 123. The value obtained for the calculated total energy is -5.119 eV per atom.